# Pr2Sn3HgPt4 (GGA-PBE, optimized geometry)
# E_tot = -5.35 eV per atom
# E_form = -0.75 eV per atom
data_Pr2Sn3HgPt4
_symmetry_space_group_name_H-M 'P -4 m 2'
_symmetry_Int_Tables_number 115
_cell_length_a 4.581
_cell_length_b 4.581
_cell_length_c 10.907
_cell_angle_alpha 90.00
_cell_angle_beta 90.00
_cell_angle_gamma 90.00
loop_
_symmetry_equiv_pos_as_xyz
'x,y,z'
'y,-x,-z'
'-x,-y,z'
'-y,x,-z'
'-x,y,z'
'-y,-x,-z'
'x,-y,z'
'y,x,-z'
loop_
_atom_site_label
_atom_site_fract_x
_atom_site_fract_y
_atom_site_fract_z
Pr1 0.000 0.500 0.248
Sn1 0.000 0.500 0.874
Sn2 0.500 0.500 0.500
Hg1 0.000 0.000 0.500
Pt1 0.000 0.000 0.000
Pt2 0.000 0.500 0.639
Pt3 0.500 0.500 0.000